1.
9
Lattice="6.855 0.000 0.000 -3.428 5.937 0.000 0.000 0.000 4.010" Properties=species:S:1:pos:R:3 comment="LiCdP, optimized geometry, DFT PBE-GGA" volume_a3_per_cell=163.2 crystal_system=hexagonal total_energy_ev_per_atom=-3.07 rho_g_cm3=4.59 pbc="T T T"
Cd 1.849 0.000 0.000
Cd -0.924 1.601 0.000
Cd 2.503 4.336 0.000
Li 4.054 0.000 2.005
Li 1.401 2.426 2.005
Li -2.027 3.511 2.005
P 3.428 1.979 0.000
P 0.000 3.958 0.000
P 0.000 0.000 2.005

=====

2.
6
Lattice="-3.694 1.719 -1.070 0.098 -3.416 2.463 0.247 3.857 5.341" Properties=species:S:1:pos:R:3 comment="LiCdP, optimized geometry, DFT PBE-GGA" volume_a3_per_cell=101.3 crystal_system=hexagonal total_energy_ev_per_atom=-2.97 rho_g_cm3=4.93 pbc="T T T"
Cd 0.000 0.000 0.000
Cd 0.124 1.928 2.670
Li -2.368 0.972 1.442
Li -0.980 1.188 5.290
P -1.104 -0.740 2.620
P -2.244 2.900 4.113

=====

3.
9
Lattice="7.122 0.000 0.000 -3.561 6.168 0.000 0.000 0.000 3.699" Properties=species:S:1:pos:R:3 comment="LiCdP, optimized geometry, DFT PBE-GGA" volume_a3_per_cell=162.5 crystal_system=hexagonal total_energy_ev_per_atom=-2.89 rho_g_cm3=4.61 pbc="T T T"
Cd 3.561 2.056 0.000
Cd 0.000 4.112 0.000
Cd 0.000 0.000 1.850
Li 4.324 0.000 1.850
Li 1.399 2.424 1.850
Li -2.162 3.744 1.850
P 2.065 0.000 0.000
P -1.033 1.788 0.000
P 2.528 4.379 0.000